1.
This record from Alexandria describes a PBEsol-optimized structure of SrTl2Cr. The functional is meta-GGA SCAN.

Unit cell a=3.619 b=3.619 c=7.592 alpha=90.00 beta=90.00 gamma=90.00
Fractional positions:
Sr  0.000  0.000  0.000
Tl  0.500  0.500  0.296
Tl  0.500  0.500  0.704
Cr  0.000  0.000  0.500

Values from the calculation:
Raw total energy ... -46.5020 eV/atom
Symmetry ... P4/mmm
ΔE_f ... -15.2 kJ/mol of atoms


2.
This record from Alexandria describes a PBEsol-optimized structure of BHW2. The functional is meta-GGA SCAN.

Unit cell a=5.356 b=5.356 c=5.356 alpha=128.97 beta=128.97 gamma=75.07
Fractional positions:
B  0.000  0.000  0.000
B  0.750  0.250  0.500
H  0.250  0.750  0.500
H  0.500  0.500  0.000
W  0.171  0.625  0.046
W  0.375  0.421  0.546
W  0.579  0.125  0.954
W  0.875  0.829  0.454

Values from the calculation:
Raw total energy ... -36.7333 eV/atom
Symmetry ... I-42d


3.
This record from Alexandria describes a PBEsol-optimized structure of OsRhBr. The functional is meta-GGA SCAN.

Unit cell a=4.250 b=4.250 c=4.250 alpha=60.00 beta=60.00 gamma=60.00
Fractional positions:
Os  0.000  0.000  0.000
Rh  0.750  0.750  0.750
Br  0.500  0.500  0.500

Values from the calculation:
Raw total energy ... -40.1781 eV/atom
Symmetry ... F-43m
Formation energy (no corrections) ... 1.526 eV/atom


Respective N(E_F) values: 1.67, 3.85, 2.11 states/eV/cell.